Arrangement a

# MgCd3In | the Alexandria database | PBE | optimized geometry
# density = 6.5 g/cm³
data_MgCd3In
_chemical_formula_sum 'Mg2 Cd6 In2'
_space_group_name_H-M_alt 'P 1'
_space_group_IT_number 1
_space_group_name_Hall 'P 1'
_cell_length_a 5.302
_cell_length_b 5.312
_cell_length_c 8.746
_cell_angle_alpha 90.00
_cell_angle_beta 90.00
_cell_angle_gamma 97.49
loop_
_atom_site_label
_atom_site_fract_x
_atom_site_fract_y
_atom_site_fract_z
Mg1 0.090 0.469 0.250
Mg2 0.910 0.531 0.750
Cd1 0.557 0.268 0.420
Cd2 0.443 0.732 0.580
Cd3 0.443 0.732 0.920
Cd4 0.557 0.268 0.080
Cd5 0.638 0.771 0.250
Cd6 0.362 0.229 0.750
In1 0.000 0.000 0.000
In2 0.000 0.000 0.500



Arrangement b

# MgCd3In | the Alexandria database | PBE | optimized geometry
# density = 5.1 g/cm³
data_MgCd3In
_chemical_formula_sum 'Mg1 Cd3 In1'
_space_group_name_H-M_alt 'P 1'
_space_group_IT_number 1
_space_group_name_Hall 'P 1'
_cell_length_a 5.375
_cell_length_b 5.375
_cell_length_c 5.375
_cell_angle_alpha 90.00
_cell_angle_beta 90.00
_cell_angle_gamma 90.00
loop_
_atom_site_label
_atom_site_fract_x
_atom_site_fract_y
_atom_site_fract_z
Mg1 0.000 0.000 0.000
Cd1 0.000 0.500 0.000
Cd2 0.000 0.000 0.500
Cd3 0.500 0.000 0.000
In1 0.500 0.500 0.500



Least stable of them? arrangement b.



Arrangement a

# MgCdIn6 | the Alexandria database | PBE | optimized geometry
# density = 6.7 g/cm³
data_MgCdIn6
_chemical_formula_sum 'Mg1 Cd1 In6'
_space_group_name_H-M_alt 'P 1'
_space_group_IT_number 1
_space_group_name_Hall 'P 1'
_cell_length_a 4.663
_cell_length_b 6.663
_cell_length_c 6.663
_cell_angle_alpha 84.63
_cell_angle_beta 90.00
_cell_angle_gamma 90.00
loop_
_atom_site_label
_atom_site_fract_x
_atom_site_fract_y
_atom_site_fract_z
Mg1 0.500 0.000 0.000
Cd1 0.500 0.500 0.500
In1 0.000 0.744 0.256
In2 0.000 0.256 0.744
In3 0.000 0.759 0.759
In4 0.000 0.241 0.241
In5 0.500 0.500 0.000
In6 0.500 0.000 0.500



Arrangement b

# MgCdIn6 | the Alexandria database | PBE | optimized geometry
# density = 6.7 g/cm³
data_MgCdIn6
_chemical_formula_sum 'Mg1 Cd1 In6'
_space_group_name_H-M_alt 'P 1'
_space_group_IT_number 1
_space_group_name_Hall 'P 1'
_cell_length_a 4.678
_cell_length_b 4.678
_cell_length_c 9.404
_cell_angle_alpha 90.00
_cell_angle_beta 90.00
_cell_angle_gamma 90.00
loop_
_atom_site_label
_atom_site_fract_x
_atom_site_fract_y
_atom_site_fract_z
Mg1 0.000 0.000 0.500
Cd1 0.000 0.000 0.000
In1 0.500 0.500 0.000
In2 0.500 0.500 0.500
In3 0.500 0.000 0.254
In4 0.500 0.000 0.746
In5 0.000 0.500 0.254
In6 0.000 0.500 0.746



Least stable of them? arrangement a.



Arrangement a

# Mg2Cd3In2 | the Alexandria database | PBE | optimized geometry
# density = 5.9 g/cm³
data_Mg2Cd3In2
_chemical_formula_sum 'Mg4 Cd6 In4'
_space_group_name_H-M_alt 'P 1'
_space_group_IT_number 1
_space_group_name_Hall 'P 1'
_cell_length_a 7.682
_cell_length_b 7.682
_cell_length_c 7.682
_cell_angle_alpha 109.47
_cell_angle_beta 109.47
_cell_angle_gamma 109.47
loop_
_atom_site_label
_atom_site_fract_x
_atom_site_fract_y
_atom_site_fract_z
Mg1 0.000 0.000 0.377
Mg2 0.500 0.377 0.500
Mg3 0.623 0.123 0.123
Mg4 0.877 0.500 0.000
Cd1 0.667 0.750 0.917
Cd2 0.833 0.250 0.583
Cd3 0.083 0.333 0.250
Cd4 0.417 0.167 0.750
Cd5 0.250 0.917 0.167
Cd6 0.750 0.583 0.333
In1 0.000 0.000 0.808
In2 0.500 0.808 0.500
In3 0.192 0.692 0.692
In4 0.308 0.500 0.000



Arrangement b

# Mg2Cd3In2 | the Alexandria database | PBE | optimized geometry
# density = 6.3 g/cm³
data_Mg2Cd3In2
_chemical_formula_sum 'Mg2 Cd3 In2'
_space_group_name_H-M_alt 'P 1'
_space_group_IT_number 1
_space_group_name_Hall 'P 1'
_cell_length_a 4.479
_cell_length_b 5.453
_cell_length_c 7.296
_cell_angle_alpha 84.85
_cell_angle_beta 90.00
_cell_angle_gamma 114.25
loop_
_atom_site_label
_atom_site_fract_x
_atom_site_fract_y
_atom_site_fract_z
Mg1 0.569 0.139 0.276
Mg2 0.431 0.861 0.724
Cd1 0.284 0.568 0.137
Cd2 0.000 0.000 0.000
Cd3 0.716 0.432 0.863
In1 0.142 0.285 0.576
In2 0.858 0.715 0.424



Least stable of them? arrangement a.



Arrangement a

# MgCd4In2 | the Alexandria database | PBE | optimized geometry
# density = 5.4 g/cm³
data_MgCd4In2
_chemical_formula_sum 'Mg1 Cd4 In2'
_space_group_name_H-M_alt 'P 1'
_space_group_IT_number 1
_space_group_name_Hall 'P 1'
_cell_length_a 5.397
_cell_length_b 5.397
_cell_length_c 8.362
_cell_angle_alpha 108.83
_cell_angle_beta 108.83
_cell_angle_gamma 90.00
loop_
_atom_site_label
_atom_site_fract_x
_atom_site_fract_y
_atom_site_fract_z
Mg1 0.000 0.000 0.000
Cd1 0.808 0.808 0.615
Cd2 0.192 0.192 0.385
Cd3 0.000 0.500 0.000
Cd4 0.500 0.000 0.000
In1 0.613 0.613 0.225
In2 0.387 0.387 0.775



Arrangement b

# MgCd4In2 | the Alexandria database | PBE | optimized geometry
# density = 6.8 g/cm³
data_MgCd4In2
_chemical_formula_sum 'Mg1 Cd4 In2'
_space_group_name_H-M_alt 'P 1'
_space_group_IT_number 1
_space_group_name_Hall 'P 1'
_cell_length_a 3.152
_cell_length_b 3.152
_cell_length_c 19.924
_cell_angle_alpha 85.46
_cell_angle_beta 85.46
_cell_angle_gamma 60.00
loop_
_atom_site_label
_atom_site_fract_x
_atom_site_fract_y
_atom_site_fract_z
Mg1 0.000 0.000 0.000
Cd1 0.710 0.710 0.870
Cd2 0.290 0.290 0.130
Cd3 0.144 0.144 0.568
Cd4 0.856 0.856 0.432
In1 0.238 0.238 0.286
In2 0.762 0.762 0.714



Least stable of them? arrangement a.



Arrangement a

# Mg3Cd8In2 | the Alexandria database | PBE | optimized geometry
# density = 6.5 g/cm³
data_Mg3Cd8In2
_chemical_formula_sum 'Mg3 Cd8 In2'
_space_group_name_H-M_alt 'P 1'
_space_group_IT_number 1
_space_group_name_Hall 'P 1'
_cell_length_a 3.290
_cell_length_b 10.408
_cell_length_c 10.280
_cell_angle_alpha 119.29
_cell_angle_beta 90.00
_cell_angle_gamma 90.00
loop_
_atom_site_label
_atom_site_fract_x
_atom_site_fract_y
_atom_site_fract_z
Mg1 0.500 0.000 0.000
Mg2 0.000 0.224 0.936
Mg3 0.000 0.776 0.064
Cd1 0.000 0.557 0.167
Cd2 0.000 0.443 0.833
Cd3 0.000 0.094 0.295
Cd4 0.000 0.906 0.705
Cd5 0.500 0.676 0.789
Cd6 0.500 0.137 0.648
Cd7 0.500 0.863 0.352
Cd8 0.500 0.324 0.211
In1 0.500 0.361 0.529
In2 0.500 0.639 0.471



Arrangement b

# Mg3Cd8In2 | the Alexandria database | PBE | optimized geometry
# density = 6.3 g/cm³
data_Mg3Cd8In2
_chemical_formula_sum 'Mg3 Cd8 In2'
_space_group_name_H-M_alt 'P 1'
_space_group_IT_number 1
_space_group_name_Hall 'P 1'
_cell_length_a 5.760
_cell_length_b 5.760
_cell_length_c 11.601
_cell_angle_alpha 75.63
_cell_angle_beta 75.63
_cell_angle_gamma 60.00
loop_
_atom_site_label
_atom_site_fract_x
_atom_site_fract_y
_atom_site_fract_z
Mg1 0.000 0.000 0.000
Mg2 0.816 0.816 0.552
Mg3 0.184 0.184 0.448
Cd1 0.727 0.727 0.818
Cd2 0.273 0.273 0.182
Cd3 0.227 0.727 0.320
Cd4 0.727 0.227 0.320
Cd5 0.727 0.727 0.320
Cd6 0.273 0.773 0.680
Cd7 0.773 0.273 0.680
Cd8 0.273 0.273 0.680
In1 0.642 0.642 0.075
In2 0.358 0.358 0.925



Least stable of them? arrangement b.



Arrangement a

# Mg8Cd2In | the Alexandria database | PBE | optimized geometry
# density = 3.4 g/cm³
data_Mg8Cd2In
_chemical_formula_sum 'Mg8 Cd2 In1'
_space_group_name_H-M_alt 'P 1'
_space_group_IT_number 1
_space_group_name_Hall 'P 1'
_cell_length_a 5.263
_cell_length_b 7.941
_cell_length_c 7.814
_cell_angle_alpha 59.46
_cell_angle_beta 78.56
_cell_angle_gamma 67.02
loop_
_atom_site_label
_atom_site_fract_x
_atom_site_fract_y
_atom_site_fract_z
Mg1 0.870 0.095 0.228
Mg2 0.870 0.323 0.772
Mg3 0.303 0.401 0.000
Mg4 0.500 0.780 0.439
Mg5 0.500 0.220 0.561
Mg6 0.697 0.599 0.000
Mg7 0.130 0.677 0.228
Mg8 0.130 0.905 0.772
Cd1 0.000 0.304 0.393
Cd2 0.000 0.696 0.607
In1 0.500 0.000 0.000



Arrangement b

# Mg8Cd2In | the Alexandria database | PBE | optimized geometry
# density = 3.5 g/cm³
data_Mg8Cd2In
_chemical_formula_sum 'Mg8 Cd2 In1'
_space_group_name_H-M_alt 'P 1'
_space_group_IT_number 1
_space_group_name_Hall 'P 1'
_cell_length_a 4.704
_cell_length_b 7.549
_cell_length_c 8.350
_cell_angle_alpha 116.88
_cell_angle_beta 106.36
_cell_angle_gamma 90.00
loop_
_atom_site_label
_atom_site_fract_x
_atom_site_fract_y
_atom_site_fract_z
Mg1 0.658 0.883 0.317
Mg2 0.342 0.566 0.683
Mg3 0.158 0.158 0.315
Mg4 0.000 0.293 0.000
Mg5 0.842 0.842 0.685
Mg6 0.658 0.434 0.317
Mg7 0.342 0.117 0.683
Mg8 0.000 0.707 0.000
Cd1 0.184 0.684 0.368
Cd2 0.816 0.316 0.632
In1 0.500 0.000 0.000



Least stable of them? arrangement a.